A plane-wave DFT calculation with GGA-PBE was carried out for an optimized crystal structure of MgZn2Ru2.

Computed properties:
Energy relative to the lowest polymorph listed for this composition ... 211 meV/atom
Calculated formation energy ... 29.6 kJ per mole of atoms
Theoretical density ... 7.2 g cm⁻³
E_tot ... -4.232 eV/atom

Unit cell a=6.627 b=6.627 c=6.627 alpha=147.91 beta=147.91 gamma=46.02
Atoms (fractional coordinates):
Mg 0.000 0.000 0.000
Zn 0.250 0.750 0.500
Zn 0.750 0.250 0.500
Ru 0.400 0.400 0.000
Ru 0.600 0.600 0.000